(1)
This record from the Alexandria database describes an optimized crystal structure of SrGeC3. The functional is PBE.

Summary:
D(E_F): 0.8343 states/eV/atom
uncorrected energy: -0.24084 Ry per atom
energy above the lowest structure with this stoichiometry: 1694 meV/atom

Unit cell a=4.6459 b=4.6459 c=4.6459 alpha=90.00 beta=90.00 gamma=90.00
Element x y z (fractional)
Sr 0.0000 0.0000 0.0000
Ge 0.5000 0.5000 0.5000
C 0.0000 0.0000 0.5000
C 0.0000 0.5000 0.0000
C 0.5000 0.0000 0.0000

***

(2)
This record from the Alexandria database describes an optimized crystal structure of AcPm4Nd15. The functional is PBE.

Summary:
D(E_F): 1.5203 states/eV/atom
uncorrected energy: -0.34647 Ry per atom

Unit cell a=5.2236 b=5.2236 c=26.0793 alpha=90.00 beta=90.00 gamma=90.00
Element x y z (fractional)
Ac 0.0000 0.0000 0.0000
Pm 0.0000 0.0000 0.2022
Pm 0.0000 0.0000 0.4009
Pm 0.0000 0.0000 0.5991
Pm 0.0000 0.0000 0.7978
Nd 0.0000 0.5000 0.1037
Nd 0.0000 0.5000 0.3018
Nd 0.0000 0.5000 0.5000
Nd 0.0000 0.5000 0.6982
Nd 0.0000 0.5000 0.8963
Nd 0.5000 0.0000 0.1037
Nd 0.5000 0.0000 0.3018
Nd 0.5000 0.0000 0.5000
Nd 0.5000 0.0000 0.6982
Nd 0.5000 0.0000 0.8963
Nd 0.5000 0.5000 0.0000
Nd 0.5000 0.5000 0.2031
Nd 0.5000 0.5000 0.4009
Nd 0.5000 0.5000 0.5991
Nd 0.5000 0.5000 0.7969

***

(3)
This record from the Alexandria database describes an optimized crystal structure of CsYB2Os. The functional is PBE.

Summary:
D(E_F): 0.8870 states/eV/atom
uncorrected energy: -0.22879 Ry per atom

Unit cell a=4.5196 b=4.5196 c=5.6932 alpha=90.00 beta=90.00 gamma=90.00
Element x y z (fractional)
Cs 0.0000 0.0000 0.0000
Y 0.0000 0.0000 0.5000
B 0.0000 0.5000 0.0000
B 0.5000 0.0000 0.0000
Os 0.5000 0.5000 0.5000

***

(4)
This record from the Alexandria database describes an optimized crystal structure of MgReAu2. The functional is PBE.

Summary:
D(E_F): 0.7307 states/eV/atom
uncorrected energy: -0.36328 Ry per atom

Unit cell a=2.7940 b=4.1254 c=5.8598 alpha=90.00 beta=90.00 gamma=90.00
Element x y z (fractional)
Mg 0.0000 0.0000 0.0000
Re 0.0000 0.0000 0.5000
Au 0.5000 0.5000 0.2565
Au 0.5000 0.5000 0.7435

***

(5)
This record from the Alexandria database describes an optimized crystal structure of CeMg3. The functional is PBE.

Summary:
D(E_F): 2.4268 states/eV/atom
uncorrected energy: -0.19209 Ry per atom

Unit cell a=4.7397 b=4.7397 c=4.7397 alpha=90.00 beta=90.00 gamma=90.00
Element x y z (fractional)
Ce 0.0000 0.0000 0.0000
Mg 0.0000 0.5000 0.5000
Mg 0.5000 0.0000 0.5000
Mg 0.5000 0.5000 0.0000

***

(6)
This record from the Alexandria database describes an optimized crystal structure of K2TaF8. The functional is PBE.

Summary:
energy relative to the elements, uncorrected: -2.865 eV/atom
uncorrected energy: -0.40444 Ry per atom

Unit cell a=4.8227 b=6.0596 c=9.3455 alpha=73.59 beta=80.83 gamma=67.44
Element x y z (fractional)
K 0.2222 0.4716 0.3076
K 0.7778 0.5284 0.6924
Ta 0.5000 0.0000 0.0000
F 0.1938 0.9225 0.1411
F 0.2099 0.3010 0.8951
F 0.3019 0.5993 0.5436
F 0.4528 0.8196 0.8709
F 0.5472 0.1804 0.1291
F 0.6981 0.4007 0.4564
F 0.7901 0.6990 0.1049
F 0.8062 0.0775 0.8589

***

Question: Which formula does entry 1 have?
Answer: SrGeC3